<1>
Density functional theory data (PBE) for a relaxed structure of ZnRhI2O.

## Properties
ρ in g/cm³: 6.075

Geometry as CIF:
```
data_ZnRhI2O
_cell_length_a 5.644
_cell_length_b 5.644
_cell_length_c 3.759
_cell_angle_alpha 90.00
_cell_angle_beta 90.00
_cell_angle_gamma 90.00
_space_group_name_H-M_alt 'P 1'
_space_group_IT_number 1
loop_
_space_group_symop_operation_xyz
'x,y,z'
loop_
_atom_site_label
_atom_site_type_symbol
_atom_site_fract_x
_atom_site_fract_y
_atom_site_fract_z
I1 I 0.000 0.500 0.000
I2 I 0.500 0.000 0.000
Zn1 Zn 0.500 0.500 0.500
Rh1 Rh 0.000 0.000 0.000
O1 O 0.000 0.000 0.500
```

=====

<2>
Density functional theory data (PBE) for a relaxed structure of ZnRhI2O.

## Properties
ρ in g/cm³: 6.245

Geometry as CIF:
```
data_ZnRhI2O
_cell_length_a 5.700
_cell_length_b 5.700
_cell_length_c 3.586
_cell_angle_alpha 90.00
_cell_angle_beta 90.00
_cell_angle_gamma 90.00
_space_group_name_H-M_alt 'P 1'
_space_group_IT_number 1
loop_
_space_group_symop_operation_xyz
'x,y,z'
loop_
_atom_site_label
_atom_site_type_symbol
_atom_site_fract_x
_atom_site_fract_y
_atom_site_fract_z
I1 I 0.000 0.500 0.000
I2 I 0.500 0.000 0.000
Zn1 Zn 0.000 0.000 0.000
Rh1 Rh 0.500 0.500 0.500
O1 O 0.000 0.000 0.500
```

=====

It is <1> that is the most stable of them.

=====

<1>
Density functional theory data (PBE) for a relaxed structure of ZrRhI2O.

## Properties
ρ in g/cm³: 6.502

Geometry as CIF:
```
data_ZrRhI2O
_cell_length_a 5.645
_cell_length_b 5.645
_cell_length_c 3.718
_cell_angle_alpha 90.00
_cell_angle_beta 90.00
_cell_angle_gamma 90.00
_space_group_name_H-M_alt 'P 1'
_space_group_IT_number 1
loop_
_space_group_symop_operation_xyz
'x,y,z'
loop_
_atom_site_label
_atom_site_type_symbol
_atom_site_fract_x
_atom_site_fract_y
_atom_site_fract_z
I1 I 0.000 0.500 0.000
I2 I 0.500 0.000 0.000
Rh1 Rh 0.000 0.000 0.000
O1 O 0.000 0.000 0.500
Zr1 Zr 0.500 0.500 0.500
```

=====

<2>
Density functional theory data (PBE) for a relaxed structure of ZrRhI2O.

## Properties
ρ in g/cm³: 5.800

Geometry as CIF:
```
data_ZrRhI2O
_cell_length_a 5.786
_cell_length_b 5.786
_cell_length_c 3.968
_cell_angle_alpha 90.00
_cell_angle_beta 90.00
_cell_angle_gamma 90.00
_space_group_name_H-M_alt 'P 1'
_space_group_IT_number 1
loop_
_space_group_symop_operation_xyz
'x,y,z'
loop_
_atom_site_label
_atom_site_type_symbol
_atom_site_fract_x
_atom_site_fract_y
_atom_site_fract_z
I1 I 0.000 0.500 0.000
I2 I 0.500 0.000 0.000
Rh1 Rh 0.500 0.500 0.500
O1 O 0.000 0.000 0.500
Zr1 Zr 0.000 0.000 0.000
```

=====

It is <2> that is the most stable of them.

=====

<1>
Density functional theory data (PBE) for a relaxed structure of ScRuIO2.

## Properties
ρ in g/cm³: 5.053

Geometry as CIF:
```
data_ScRuIO2
_cell_length_a 4.005
_cell_length_b 4.005
_cell_length_c 6.247
_cell_angle_alpha 90.00
_cell_angle_beta 90.00
_cell_angle_gamma 90.00
_space_group_name_H-M_alt 'P 1'
_space_group_IT_number 1
loop_
_space_group_symop_operation_xyz
'x,y,z'
loop_
_atom_site_label
_atom_site_type_symbol
_atom_site_fract_x
_atom_site_fract_y
_atom_site_fract_z
I1 I 0.000 0.000 0.500
Ru1 Ru 0.500 0.500 0.500
Sc1 Sc 0.000 0.000 0.000
O1 O 0.000 0.500 0.000
O2 O 0.500 0.000 0.000
```

=====

<2>
Density functional theory data (PBE) for a relaxed structure of ScRuIO2.

## Properties
ρ in g/cm³: 5.785

Geometry as CIF:
```
data_ScRuIO2
_cell_length_a 3.963
_cell_length_b 3.963
_cell_length_c 5.573
_cell_angle_alpha 90.00
_cell_angle_beta 90.00
_cell_angle_gamma 90.00
_space_group_name_H-M_alt 'P 1'
_space_group_IT_number 1
loop_
_space_group_symop_operation_xyz
'x,y,z'
loop_
_atom_site_label
_atom_site_type_symbol
_atom_site_fract_x
_atom_site_fract_y
_atom_site_fract_z
I1 I 0.000 0.000 0.500
Ru1 Ru 0.000 0.000 0.000
Sc1 Sc 0.500 0.500 0.500
O1 O 0.000 0.500 0.000
O2 O 0.500 0.000 0.000
```

=====

It is <1> that is the most stable of them.

=====

<1>
Density functional theory data (PBE) for a relaxed structure of RuSeIO2.

## Properties
ρ in g/cm³: 6.108

Geometry as CIF:
```
data_RuSeIO2
_cell_length_a 3.877
_cell_length_b 3.877
_cell_length_c 6.132
_cell_angle_alpha 90.00
_cell_angle_beta 90.00
_cell_angle_gamma 90.00
_space_group_name_H-M_alt 'P 1'
_space_group_IT_number 1
loop_
_space_group_symop_operation_xyz
'x,y,z'
loop_
_atom_site_label
_atom_site_type_symbol
_atom_site_fract_x
_atom_site_fract_y
_atom_site_fract_z
I1 I 0.000 0.000 0.500
Ru1 Ru 0.000 0.000 0.000
O1 O 0.000 0.500 0.000
O2 O 0.500 0.000 0.000
Se1 Se 0.500 0.500 0.500
```

=====

<2>
Density functional theory data (PBE) for a relaxed structure of RuSeIO2.

## Properties
ρ in g/cm³: 5.587

Geometry as CIF:
```
data_RuSeIO2
_cell_length_a 3.824
_cell_length_b 3.824
_cell_length_c 6.888
_cell_angle_alpha 90.00
_cell_angle_beta 90.00
_cell_angle_gamma 90.00
_space_group_name_H-M_alt 'P 1'
_space_group_IT_number 1
loop_
_space_group_symop_operation_xyz
'x,y,z'
loop_
_atom_site_label
_atom_site_type_symbol
_atom_site_fract_x
_atom_site_fract_y
_atom_site_fract_z
I1 I 0.000 0.000 0.500
Ru1 Ru 0.500 0.500 0.500
O1 O 0.000 0.500 0.000
O2 O 0.500 0.000 0.000
Se1 Se 0.000 0.000 0.000
```

=====

It is <1> that is the most stable of them.